! SrTa3In, relaxed, DFT GGA-PBE; values from VASP
&SYSTEM
  ibrav = 0, nat = 5, ntyp = 3
/
ATOMIC_SPECIES
Sr 87.62 Sr.upf
Ta 180.95 Ta.upf
In 114.82 In.upf
CELL_PARAMETERS angstrom
4.920 0.000 0.000
0.000 4.920 0.000
0.000 0.000 4.920
ATOMIC_POSITIONS crystal
Sr 0.000 0.000 0.000
Ta 0.500 0.000 0.000
Ta 0.000 0.000 0.500
Ta 0.000 0.500 0.000
In 0.500 0.500 0.500
! - E: -5.28 eV/atom
! - Calculated density: 10.39 g cm⁻³
! - E_form: 261.91 kJ per mole of atoms